DFT (GGA-PBE) results for a relaxed structure of NdEr2SnN4.

The magnetization comes out at 0.000 μB per formula unit. For the total energy, the calculation gives -7.30 eV per atom. As for the formation energy without anion corrections: -0.902 eV/atom.

Structure (CIF):
```
data_NdEr2SnN4
_space_group_name_H-M_alt 'C m c m'
_space_group_IT_number 63
_space_group_name_Hall '-C 2c 2'
_cell_length_a 3.532
_cell_length_b 11.747
_cell_length_c 12.027
_cell_angle_alpha 90.00
_cell_angle_beta 90.00
_cell_angle_gamma 90.00
loop_
_atom_site_label
_atom_site_type_symbol
_atom_site_fract_x
_atom_site_fract_y
_atom_site_fract_z
Nd1 Nd 0.000 0.118 0.250
Er1 Er 0.000 0.371 0.035
Sn1 Sn 0.000 0.146 0.750
N1 N 0.000 0.000 0.000
N2 N 0.000 0.263 0.618
N3 N 0.000 0.453 0.250
```

DFT (GGA-PBE) results for a relaxed structure of Nd3Ga4Ni2.

The magnetization comes out at 0.000 μB per formula unit. For the total energy, the calculation gives -4.79 eV per atom. The calculation puts the formation energy at -568 meV per atom.

Structure (CIF):
```
data_Nd3Ga4Ni2
_space_group_name_H-M_alt 'C 1 2/m 1'
_space_group_IT_number 12
_cell_length_a 10.895
_cell_length_b 4.362
_cell_length_c 8.253
_cell_angle_alpha 90.00
_cell_angle_beta 105.34
_cell_angle_gamma 90.00
loop_
_space_group_symop_operation_xyz
'x,y,z'
'-x,-y,-z'
'-x,y,-z'
'x,-y,z'
'x+1/2,y+1/2,z'
'-x+1/2,-y+1/2,-z'
'-x+1/2,y+1/2,-z'
'x+1/2,-y+1/2,z'
loop_
_atom_site_label
_atom_site_type_symbol
_atom_site_fract_x
_atom_site_fract_y
_atom_site_fract_z
Nd1 Nd 0.000 0.000 0.000
Nd2 Nd 0.116 0.500 0.693
Ga1 Ga 0.109 0.000 0.408
Ga2 Ga 0.219 0.500 0.081
Ni1 Ni 0.190 0.500 0.365
```

DFT (GGA-PBE) results for a relaxed structure of K2LaTl.

The magnetization comes out at 0.422 μB per formula unit. For the total energy, the calculation gives -2.19 eV per atom. The calculation puts the formation energy at 185 meV per atom.

Structure (CIF):
```
data_K2LaTl
_space_group_name_H-M_alt 'C 1 2/m 1'
_space_group_IT_number 12
_cell_length_a 7.040
_cell_length_b 14.119
_cell_length_c 3.914
_cell_angle_alpha 90.00
_cell_angle_beta 122.04
_cell_angle_gamma 90.00
loop_
_space_group_symop_operation_xyz
'x,y,z'
'-x,-y,-z'
'-x,y,-z'
'x,-y,z'
'x+1/2,y+1/2,z'
'-x+1/2,-y+1/2,-z'
'-x+1/2,y+1/2,-z'
'x+1/2,-y+1/2,z'
loop_
_atom_site_label
_atom_site_type_symbol
_atom_site_fract_x
_atom_site_fract_y
_atom_site_fract_z
K1 K 0.250 0.250 0.000
La1 La 0.000 0.000 0.500
Tl1 Tl 0.000 0.500 0.500
```

DFT (GGA-PBE) results for a relaxed structure of InCo2Rh.

The magnetization comes out at 3.395 μB per formula unit. For the total energy, the calculation gives -5.97 eV per atom. The calculation puts the formation energy at 106 meV per atom.

Structure (CIF):
```
data_InCo2Rh
_space_group_name_H-M_alt 'I 4/m m m'
_space_group_IT_number 139
_space_group_name_Hall '-I 4 2'
_cell_length_a 3.802
_cell_length_b 3.802
_cell_length_c 7.837
_cell_angle_alpha 90.00
_cell_angle_beta 90.00
_cell_angle_gamma 90.00
loop_
_atom_site_label
_atom_site_type_symbol
_atom_site_fract_x
_atom_site_fract_y
_atom_site_fract_z
In1 In 0.000 0.000 0.000
Co1 Co 0.000 0.500 0.250
Rh1 Rh 0.000 0.000 0.500
```

Look up the magnetization of the first one.
0.000 μB per formula unit

Among the records above, which one has the highest magnetization?
InCo2Rh